1.
## Ag2SN (GGA-PBE)

Data for crystalline Ag2SN at its relaxed geometry.

Calculated values
Fermi-level density of states   8.11 states/eV per cell
Total magnetic moment   0.000 μB/atom

Cell: 4.971 4.971 6.923 Å, 68.96 68.96 90.00°
Sites, in units of the cell vectors:
S: 0.000 0.000 0.000
S: 0.750 0.250 0.500
Ag: 0.545 0.125 0.250
Ag: 0.205 0.625 0.250
Ag: 0.375 0.455 0.750
Ag: 0.875 0.795 0.750
N: 0.500 0.500 0.000
N: 0.250 0.750 0.500


2.
## AgS3N (GGA-PBE)

Data for crystalline AgS3N at its relaxed geometry.

Calculated values
Fermi-level density of states   3.85 states/eV per cell
Total magnetic moment   1.196 μB/atom

Cell: 4.939 4.939 4.939 Å, 90.00 90.00 90.00°
Last column: magnetic moment on the atom in μB.
Sites, in units of the cell vectors:
S: 0.000 0.500 0.000  0.72
S: 0.000 0.000 0.500  0.52
S: 0.500 0.000 0.000  0.76
Ag: 0.000 0.000 0.000  0.04
N: 0.500 0.500 0.500  1.87


3.
## AgSN3 (GGA-PBE)

Data for crystalline AgSN3 at its relaxed geometry.

Calculated values
Fermi-level density of states   5.23 states/eV per cell
Total magnetic moment   0.810 μB/atom

Cell: 4.118 4.118 4.118 Å, 90.00 90.00 90.00°
Last column: magnetic moment on the atom in μB.
Sites, in units of the cell vectors:
S: 0.500 0.500 0.500  -0.18
Ag: 0.000 0.000 0.000  0.16
N: 0.000 0.500 0.000  1.04
N: 0.000 0.000 0.500  0.92
N: 0.500 0.000 0.000  1.02


Here are the calculated E_form (uncorrected) numbers, same order: 0.960; 1.965; 2.888 (eV per atom).